This record from OQMD describes crystalline RbPr2Cu3Te4S at its relaxed geometry. The functional is GGA-PBE.

Values from the calculation:
Space-group type ... Cmcm
VASP energy ... -4.403 eV per atom
V ... 28.0 A^3/atom
Total moment ... 0.0 μB per formula unit
Calculated density ... 5.937 g cm⁻³

```
RbPr2Cu3Te4S
1.0
2.1797 -7.7697 0.0000
2.1797 7.7697 0.0000
0.0000 0.0000 18.1728
Rb Pr Cu Te S
2 4 6 8 2
direct
0.0746 0.9254 0.7500 Rb
0.9254 0.0746 0.2500 Rb
0.1964 0.8036 0.1004 Pr
0.1964 0.8036 0.3996 Pr
0.8036 0.1964 0.6004 Pr
0.8036 0.1964 0.8996 Pr
0.3281 0.6719 0.7500 Cu
0.4160 0.5840 0.0165 Cu
0.4160 0.5840 0.4835 Cu
0.5840 0.4160 0.5165 Cu
0.5840 0.4160 0.9835 Cu
0.6719 0.3281 0.2500 Cu
0.1553 0.8447 0.5703 Te
0.1553 0.8447 0.9297 Te
0.4476 0.5524 0.6254 Te
0.4476 0.5524 0.8746 Te
0.5524 0.4476 0.1254 Te
0.5524 0.4476 0.3746 Te
0.8447 0.1553 0.0703 Te
0.8447 0.1553 0.4297 Te
0.2373 0.7627 0.2500 S
0.7627 0.2373 0.7500 S
```